[1]
The following is a PBE calculation of GeTeOs after structural relaxation, from Alexandria via LeMat-Bulk.

a = 5.0255 Å, b = 3.9902 Å, c = 13.4824 Å
α = 90.00°, β = 99.26°, γ = 90.00°
Sites, in units of the cell vectors:
Os  0.8253  0.5000  0.6935
Ge  0.3278  0.5000  0.7059
Ge  0.6722  0.0000  0.7941
Os  0.1747  0.0000  0.8065
Te  0.2307  0.0000  0.4376
Ge  0.6722  0.5000  0.2941
Te  0.7693  0.5000  0.0624
Os  0.1747  0.5000  0.3065
Te  0.2307  0.5000  0.9376
Te  0.7693  0.0000  0.5624
Os  0.8253  0.0000  0.1935
Ge  0.3278  0.0000  0.2059

Values from the calculation:
As for the total energy: -6.1862 eV per atom. The formation energy without anion corrections comes out at 143 meV per atom. For the calculated volume, the calculation gives 267 Å³ per cell. As for the space-group type: C2/m.



[2]
The following is a PBE calculation of Cs2HgO after structural relaxation, from Alexandria via LeMat-Bulk.

a = 4.2243 Å, b = 4.2243 Å, c = 11.4957 Å
α = 79.41°, β = 79.41°, γ = 60.00°
Each line ends with the local moment (μB).
Sites, in units of the cell vectors:
Cs  0.1209  0.1209  0.6372  0.00
O  0.5000  0.5000  0.5000  0.10
Hg  0.0000  0.0000  0.0000  0.00
Cs  0.8791  0.8791  0.3628  0.00

Values from the calculation:
As for the total energy: -2.4691 eV per atom. The formation energy without anion corrections comes out at -727 meV per atom. As for the energy above the most stable polymorph in this dataset: 0 meV per atom. For the calculated volume, the calculation gives 174 Å³ per cell. As for the space-group type: R-3m.



[3]
The following is a PBE calculation of PmPuNi after structural relaxation, from Alexandria via LeMat-Bulk.

a = 3.4445 Å, b = 3.4445 Å, c = 6.5081 Å
α = 105.35°, β = 105.35°, γ = 90.00°
Each line ends with the local moment (μB).
Sites, in units of the cell vectors:
Pm  0.3033  0.3033  0.6066  0.16
Ni  0.6644  0.6644  0.3288  0.01
Pu  0.0323  0.0323  0.0646  5.43

Values from the calculation:
As for the total energy: -8.2996 eV per atom. The formation energy is -12 meV per atom. For the calculated volume, the calculation gives 72 Å³ per cell. As for the space-group type: I4mm.



[4]
The following is a PBE calculation of Pa3Si after structural relaxation, from Alexandria via LeMat-Bulk.

a = 4.4314 Å, b = 4.4314 Å, c = 5.4398 Å
α = 114.04°, β = 114.04°, γ = 90.00°
Sites, in units of the cell vectors:
Pa  0.5000  0.5000  0.0000
Pa  0.7500  0.2500  0.5000
Pa  0.2500  0.7500  0.5000
Si  0.0000  0.0000  0.0000

Values from the calculation:
As for the total energy: -8.7527 eV per atom. The formation energy without anion corrections comes out at -275 meV per atom. As for the energy above the most stable polymorph in this dataset: 27 meV per atom. For the calculated volume, the calculation gives 87 Å³ per cell. As for the space-group type: I4/mmm.



[5]
The following is a PBE calculation of AgH2Pd4 after structural relaxation, from Alexandria via LeMat-Bulk.

a = 2.7822 Å, b = 8.1117 Å, c = 8.1117 Å
α = 90.00°, β = 90.00°, γ = 90.00°
Sites, in units of the cell vectors:
H  0.0000  0.7074  0.2926
Ag  0.5000  0.0000  0.0000
Pd  0.0000  0.0711  0.3055
H  0.5000  0.2074  0.2074
Pd  0.5000  0.5711  0.1945
Pd  0.0000  0.9289  0.6945
Ag  0.0000  0.5000  0.5000
Pd  0.5000  0.4289  0.8055
H  0.5000  0.7926  0.7926
Pd  0.0000  0.6945  0.9289
Pd  0.0000  0.3055  0.0711
Pd  0.5000  0.1945  0.5711
Pd  0.5000  0.8055  0.4289
H  0.0000  0.2926  0.7074

Values from the calculation:
As for the total energy: -4.2704 eV per atom. As for the energy above the most stable polymorph in this dataset: 137 meV per atom. For the calculated volume, the calculation gives 183 Å³ per cell. As for the space-group type: P4_2/mnm.



[6]
The following is a PBE calculation of ScTi2HPt after structural relaxation, from Alexandria via LeMat-Bulk.

a = 3.9765 Å, b = 3.9765 Å, c = 4.4791 Å
α = 90.00°, β = 90.00°, γ = 90.00°
Sites, in units of the cell vectors:
H  0.0000  0.0000  0.0000
Ti  0.5000  0.0000  0.0000
Ti  0.0000  0.5000  0.0000
Pt  0.5000  0.5000  0.5000
Sc  0.0000  0.0000  0.5000

Values from the calculation:
As for the total energy: -6.8467 eV per atom. For the calculated volume, the calculation gives 71 Å³ per cell. As for the space-group type: P4/mmm.



[7]
The following is a PBE calculation of Ce3BeTl3S8 after structural relaxation, from Alexandria via LeMat-Bulk.

a = 7.9014 Å, b = 8.1172 Å, c = 8.8459 Å
α = 118.13°, β = 90.00°, γ = 119.12°
Each line ends with the local moment (μB).
Sites, in units of the cell vectors:
S  0.8093  0.0375  0.3358  -0.02
S  0.2669  0.5338  0.2947  -0.01
Ce  0.5000  0.5000  0.5000  0.38
Ce  0.0000  0.5000  0.5000  0.38
Be  0.0000  0.0000  0.5000  0.00
Ce  0.5000  0.0000  0.5000  0.49
Tl  0.5000  0.5000  0.0000  0.00
S  0.2686  0.5372  0.7228  -0.02
S  0.1907  0.9625  0.6642  -0.02
S  0.2282  0.0375  0.3358  -0.02
Tl  0.0000  0.5000  0.0000  0.00
Tl  0.0000  0.0000  0.0000  0.00
S  0.7718  0.9625  0.6642  -0.02
S  0.7331  0.4662  0.7054  -0.01
S  0.7314  0.4628  0.2772  -0.02

Values from the calculation:
As for the total energy: -5.2802 eV per atom. The formation energy without anion corrections comes out at -1170 meV per atom. For the calculated volume, the calculation gives 417 Å³ per cell. As for the space-group type: C2/m.



[8]
The following is a PBE calculation of Cs2Ce2CrS6 after structural relaxation, from Alexandria via LeMat-Bulk.

a = 6.8422 Å, b = 6.8422 Å, c = 8.5318 Å
α = 98.09°, β = 98.09°, γ = 119.17°
Each line ends with the local moment (μB).
Sites, in units of the cell vectors:
S  0.0604  0.3623  0.6725  -0.04
S  0.9396  0.6377  0.3275  -0.04
Cs  0.8294  0.1706  0.0000  0.00
Ce  0.3331  0.6669  0.5000  0.60
S  0.7610  0.7610  0.6705  -0.04
Cs  0.1706  0.8294  0.0000  0.00
S  0.3623  0.0604  0.6725  -0.04
Cr  0.0000  0.0000  0.5000  2.85
Ce  0.6669  0.3331  0.5000  0.60
S  0.6377  0.9396  0.3275  -0.04
S  0.2390  0.2390  0.3295  -0.04

Values from the calculation:
As for the total energy: -5.8127 eV per atom. The formation energy without anion corrections comes out at -1452 meV per atom. For the calculated volume, the calculation gives 335 Å³ per cell. As for the space-group type: C2/m.



[9]
The following is a PBE calculation of Nd2Dy3Zn2 after structural relaxation, from Alexandria via LeMat-Bulk.

a = 3.6430 Å, b = 3.5585 Å, c = 15.3316 Å
α = 90.00°, β = 96.82°, γ = 90.00°
Each line ends with the local moment (μB).
Sites, in units of the cell vectors:
Dy  0.4182  0.5000  0.8363  0.00
Zn  0.8630  0.0000  0.7259  0.00
Dy  0.0000  0.0000  0.0000  0.00
Dy  0.5818  0.5000  0.1637  0.00
Nd  0.3010  0.5000  0.6021  0.12
Nd  0.6990  0.5000  0.3979  0.12
Zn  0.1370  0.0000  0.2741  0.00

Values from the calculation:
As for the total energy: -3.8283 eV per atom. The formation energy is -130 meV per atom. As for the energy above the most stable polymorph in this dataset: 0 meV per atom. For the calculated volume, the calculation gives 197 Å³ per cell. As for the space-group type: Cmmm.



[10]
The following is a PBE calculation of Ba8Au3N after structural relaxation, from Alexandria via LeMat-Bulk.

a = 8.0389 Å, b = 8.0389 Å, c = 9.2799 Å
α = 90.00°, β = 90.00°, γ = 110.08°
Sites, in units of the cell vectors:
Ba  0.7492  0.2508  0.0000
Au  0.5000  0.5000  0.0000
Ba  0.2825  0.2822  0.7177
Ba  0.7175  0.7178  0.7177
Au  0.5000  0.0000  0.7457
Au  0.0000  0.5000  0.2543
Ba  0.2822  0.2825  0.2823
Ba  0.2508  0.7492  0.0000
N  0.5000  0.5000  0.5000
Ba  0.2842  0.7158  0.5000
Ba  0.7178  0.7175  0.2823
Ba  0.7158  0.2842  0.5000

Values from the calculation:
As for the total energy: -3.2424 eV per atom. The formation energy without anion corrections comes out at -447 meV per atom. For the calculated volume, the calculation gives 563 Å³ per cell. As for the space-group type: C222.



[11]
The following is a PBE calculation of Pr3RuI after structural relaxation, from Alexandria via LeMat-Bulk.

a = 4.2721 Å, b = 7.2996 Å, c = 10.1992 Å
α = 90.00°, β = 90.00°, γ = 90.00°
Sites, in units of the cell vectors:
Pr  0.2500  0.5007  0.8561
Pr  0.7500  0.2500  0.6114
Pr  0.2500  0.7500  0.3886
I  0.7500  0.7500  0.6445
Ru  0.2500  0.7500  0.1010
Pr  0.2500  0.9993  0.8561
Pr  0.7500  0.0007  0.1439
I  0.2500  0.2500  0.3555
Pr  0.7500  0.4993  0.1439
Ru  0.7500  0.2500  0.8990

Values from the calculation:
As for the total energy: -5.4606 eV per atom. The formation energy without anion corrections comes out at -428 meV per atom. As for the energy above the most stable polymorph in this dataset: 22 meV per atom. For the calculated volume, the calculation gives 318 Å³ per cell. As for the space-group type: Pmmn.



[12]
The following is a PBE calculation of La2Be3Ge4Ir after structural relaxation, from Alexandria via LeMat-Bulk.

a = 4.1778 Å, b = 4.1778 Å, c = 10.0370 Å
α = 90.00°, β = 90.00°, γ = 90.00°
Sites, in units of the cell vectors:
Be  0.5000  0.0000  0.8742
Ge  0.0000  0.0000  0.0000
La  0.5000  0.0000  0.2471
Ge  0.0000  0.5000  0.3644
Be  0.0000  0.0000  0.5000
La  0.0000  0.5000  0.7529
Be  0.0000  0.5000  0.1258
Ge  0.5000  0.0000  0.6356
Ge  0.5000  0.5000  0.0000
Ir  0.5000  0.5000  0.5000

Values from the calculation:
As for the total energy: -5.3025 eV per atom. The formation energy is -466 meV per atom. For the calculated volume, the calculation gives 175 Å³ per cell. As for the space-group type: P-4m2.